Entry 1:
# Te2SNF GGA-PBE relaxed
# magnetic moment = 0.04 μB per atom
# E_form (uncorrected) = 1254 meV per atom
# DFT total energy = -2.867 eV/atom
# space-group type = P4/mmm
# energy relative to the lowest polymorph listed for this composition = 2.990 eV/f.u.
data_Te2SNF
_cell_length_a 4.949
_cell_length_b 4.949
_cell_length_c 3.801
_cell_angle_alpha 90.00
_cell_angle_beta 90.00
_cell_angle_gamma 90.00
_symmetry_space_group_name_H-M 'P 1'
_symmetry_Int_Tables_number 1
loop_
_symmetry_equiv_pos_as_xyz
'x,y,z'
loop_
_atom_site_label
_atom_site_fract_x
_atom_site_fract_y
_atom_site_fract_z
Te1 0.000 0.500 0.000
Te2 0.500 0.000 0.000
S1 0.000 0.000 0.500
N1 0.500 0.500 0.500
F1 0.500 0.500 0.000

***

Entry 2:
# LiP2Pb GGA-PBE relaxed
# magnetic moment = 0.00 μB per atom
# DFT total energy = -3.916 eV/atom
# energy of formation from the pure elements = 0.19 eV per atom
# space-group type = Immm
data_LiP2Pb
_cell_length_a 5.229
_cell_length_b 5.229
_cell_length_c 5.229
_cell_angle_alpha 132.74
_cell_angle_beta 130.20
_cell_angle_gamma 71.09
_symmetry_space_group_name_H-M 'P 1'
_symmetry_Int_Tables_number 1
loop_
_symmetry_equiv_pos_as_xyz
'x,y,z'
loop_
_atom_site_label
_atom_site_fract_x
_atom_site_fract_y
_atom_site_fract_z
Li1 0.000 0.000 0.000
P1 0.246 0.746 0.500
P2 0.754 0.254 0.500
Pb1 0.500 0.500 0.000

***

Entry 3:
# Ge2OsW GGA-PBE relaxed
# magnetic moment = 0.00 μB per atom
# DFT total energy = -7.770 eV/atom
# energy of formation from the pure elements = 0.58 eV per atom
# space-group type = I-42d
# energy relative to the lowest polymorph listed for this composition = 0.923 eV/f.u.
data_Ge2OsW
_cell_length_a 9.408
_cell_length_b 9.408
_cell_length_c 9.408
_cell_angle_alpha 156.33
_cell_angle_beta 156.33
_cell_angle_gamma 33.71
_symmetry_space_group_name_H-M 'P 1'
_symmetry_Int_Tables_number 1
loop_
_symmetry_equiv_pos_as_xyz
'x,y,z'
loop_
_atom_site_label
_atom_site_fract_x
_atom_site_fract_y
_atom_site_fract_z
Ge1 0.115 0.625 0.990
Ge2 0.375 0.365 0.490
Ge3 0.635 0.125 0.010
Ge4 0.875 0.885 0.510
Os1 0.000 0.000 0.000
Os2 0.750 0.250 0.500
W1 0.250 0.750 0.500
W2 0.500 0.500 0.000

***

Entry 4:
# AcPr7Dy3 GGA-PBE relaxed
# magnetic moment = 0.00 μB per atom
# DFT total energy = -4.476 eV/atom
# energy of formation from the pure elements = 0.19 eV per atom
# space-group type = P3m1
data_AcPr7Dy3
_cell_length_a 7.349
_cell_length_b 7.349
_cell_length_c 8.780
_cell_angle_alpha 90.00
_cell_angle_beta 90.00
_cell_angle_gamma 120.00
_symmetry_space_group_name_H-M 'P 1'
_symmetry_Int_Tables_number 1
loop_
_symmetry_equiv_pos_as_xyz
'x,y,z'
loop_
_atom_site_label
_atom_site_fract_x
_atom_site_fract_y
_atom_site_fract_z
Ac1 0.000 0.000 0.000
Pr1 0.000 0.500 0.981
Pr2 0.168 0.336 0.338
Pr3 0.168 0.832 0.338
Pr4 0.500 0.000 0.981
Pr5 0.500 0.500 0.981
Pr6 0.664 0.832 0.338
Pr7 0.667 0.333 0.317
Dy1 0.336 0.168 0.656
Dy2 0.832 0.168 0.656
Dy3 0.832 0.664 0.656

***

Entry 5:
# SbPbWI2 GGA-PBE relaxed
# magnetic moment = 0.48 μB per atom
# E_form (uncorrected) = 698 meV per atom
# DFT total energy = -4.079 eV/atom
# space-group type = P4/mmm
# energy relative to the lowest polymorph listed for this composition = 0.000 eV/f.u.
data_SbPbWI2
_cell_length_a 5.549
_cell_length_b 5.549
_cell_length_c 5.294
_cell_angle_alpha 90.00
_cell_angle_beta 90.00
_cell_angle_gamma 90.00
_symmetry_space_group_name_H-M 'P 1'
_symmetry_Int_Tables_number 1
loop_
_symmetry_equiv_pos_as_xyz
'x,y,z'
loop_
_atom_site_label
_atom_site_fract_x
_atom_site_fract_y
_atom_site_fract_z
Sb1 0.000 0.000 0.000
Pb1 0.500 0.500 0.000
W1 0.000 0.000 0.500
I1 0.000 0.500 0.500
I2 0.500 0.000 0.500

***

Entry 6:
# LiYPb GGA-PBE relaxed
# magnetic moment = 0.00 μB per atom
# DFT total energy = -3.030 eV/atom
# energy of formation from the pure elements = 1.00 eV per atom
# space-group type = P6_3/mmc
data_LiYPb
_cell_length_a 4.854
_cell_length_b 4.854
_cell_length_c 12.259
_cell_angle_alpha 90.00
_cell_angle_beta 90.00
_cell_angle_gamma 120.00
_symmetry_space_group_name_H-M 'P 1'
_symmetry_Int_Tables_number 1
loop_
_symmetry_equiv_pos_as_xyz
'x,y,z'
loop_
_atom_site_label
_atom_site_fract_x
_atom_site_fract_y
_atom_site_fract_z
Li1 0.333 0.667 0.250
Li2 0.667 0.333 0.750
Y1 0.000 0.000 0.250
Y2 0.000 0.000 0.750
Pb1 0.000 0.000 0.000
Pb2 0.000 0.000 0.500

***

Entry 7:
# K6Rb12Sb GGA-PBE relaxed
# magnetic moment = 0.00 μB per atom
# E_form (uncorrected) = -25 meV per atom
# DFT total energy = -1.200 eV/atom
# space-group type = R-3
data_K6Rb12Sb
_cell_length_a 11.230
_cell_length_b 11.230
_cell_length_c 11.230
_cell_angle_alpha 91.22
_cell_angle_beta 91.22
_cell_angle_gamma 91.22
_symmetry_space_group_name_H-M 'P 1'
_symmetry_Int_Tables_number 1
loop_
_symmetry_equiv_pos_as_xyz
'x,y,z'
loop_
_atom_site_label
_atom_site_fract_x
_atom_site_fract_y
_atom_site_fract_z
K1 0.203 0.544 0.476
K2 0.456 0.524 0.797
K3 0.476 0.203 0.544
K4 0.524 0.797 0.456
K5 0.544 0.476 0.203
K6 0.797 0.456 0.524
Rb1 0.041 0.349 0.143
Rb2 0.106 0.257 0.755
Rb3 0.143 0.041 0.349
Rb4 0.245 0.894 0.743
Rb5 0.257 0.755 0.106
Rb6 0.349 0.143 0.041
Rb7 0.651 0.857 0.959
Rb8 0.743 0.245 0.894
Rb9 0.755 0.106 0.257
Rb10 0.857 0.959 0.651
Rb11 0.894 0.743 0.245
Rb12 0.959 0.651 0.857
Sb1 0.000 0.000 0.000

***

Entry 8:
# TbLuRu2 GGA-PBE relaxed
# magnetic moment = 0.00 μB per atom
# DFT total energy = -7.302 eV/atom
# energy of formation from the pure elements = -0.38 eV per atom
# space-group type = P4/mmm
data_TbLuRu2
_cell_length_a 3.370
_cell_length_b 3.370
_cell_length_c 6.749
_cell_angle_alpha 90.00
_cell_angle_beta 90.00
_cell_angle_gamma 90.00
_symmetry_space_group_name_H-M 'P 1'
_symmetry_Int_Tables_number 1
loop_
_symmetry_equiv_pos_as_xyz
'x,y,z'
loop_
_atom_site_label
_atom_site_fract_x
_atom_site_fract_y
_atom_site_fract_z
Tb1 0.000 0.000 0.000
Lu1 0.000 0.000 0.500
Ru1 0.500 0.500 0.255
Ru2 0.500 0.500 0.745

***

Entry 9:
# EuTaSe2 GGA-PBE relaxed
# magnetic moment = 1.69 μB per atom
# E_form (uncorrected) = -876 meV per atom
# DFT total energy = -8.150 eV/atom
# space-group type = R-3m
data_EuTaSe2
_cell_length_a 6.948
_cell_length_b 6.948
_cell_length_c 6.948
_cell_angle_alpha 33.16
_cell_angle_beta 33.16
_cell_angle_gamma 33.16
_symmetry_space_group_name_H-M 'P 1'
_symmetry_Int_Tables_number 1
loop_
_symmetry_equiv_pos_as_xyz
'x,y,z'
loop_
_atom_site_label
_atom_site_fract_x
_atom_site_fract_y
_atom_site_fract_z
Eu1 0.000 0.000 0.000
Ta1 0.500 0.500 0.500
Se1 0.238 0.238 0.238
Se2 0.762 0.762 0.762

***

Entry 10:
# Sr2AuS GGA-PBE relaxed
# magnetic moment = 0.00 μB per atom
# E_form (uncorrected) = -1115 meV per atom
# DFT total energy = -3.807 eV/atom
# space-group type = I-42d
data_Sr2AuS
_cell_length_a 7.095
_cell_length_b 7.095
_cell_length_c 7.095
_cell_angle_alpha 112.22
_cell_angle_beta 112.22
_cell_angle_gamma 104.10
_symmetry_space_group_name_H-M 'P 1'
_symmetry_Int_Tables_number 1
loop_
_symmetry_equiv_pos_as_xyz
'x,y,z'
loop_
_atom_site_label
_atom_site_fract_x
_atom_site_fract_y
_atom_site_fract_z
Sr1 0.098 0.625 0.973
Sr2 0.375 0.348 0.473
Sr3 0.652 0.125 0.027
Sr4 0.875 0.902 0.527
Au1 0.250 0.750 0.500
Au2 0.500 0.500 0.000
S1 0.000 0.000 0.000
S2 0.750 0.250 0.500

***

Entry 11:
# TaRe3 GGA-PBE relaxed
# magnetic moment = 0.00 μB per atom
# DFT total energy = -12.330 eV/atom
# energy of formation from the pure elements = -0.03 eV per atom
# space-group type = P4/mmm
data_TaRe3
_cell_length_a 4.475
_cell_length_b 4.475
_cell_length_c 3.140
_cell_angle_alpha 90.00
_cell_angle_beta 90.00
_cell_angle_gamma 90.00
_symmetry_space_group_name_H-M 'P 1'
_symmetry_Int_Tables_number 1
loop_
_symmetry_equiv_pos_as_xyz
'x,y,z'
loop_
_atom_site_label
_atom_site_fract_x
_atom_site_fract_y
_atom_site_fract_z
Ta1 0.000 0.000 0.000
Re1 0.000 0.500 0.500
Re2 0.500 0.000 0.500
Re3 0.500 0.500 0.000

***

Entry 12:
# Th6PdSe12 GGA-PBE relaxed
# magnetic moment = 0.00 μB per atom
# E_form (uncorrected) = -1540 meV per atom
# DFT total energy = -6.357 eV/atom
# space-group type = R-3
data_Th6PdSe12
_cell_length_a 8.420
_cell_length_b 8.420
_cell_length_c 8.420
_cell_angle_alpha 100.70
_cell_angle_beta 100.70
_cell_angle_gamma 100.70
_symmetry_space_group_name_H-M 'P 1'
_symmetry_Int_Tables_number 1
loop_
_symmetry_equiv_pos_as_xyz
'x,y,z'
loop_
_atom_site_label
_atom_site_fract_x
_atom_site_fract_y
_atom_site_fract_z
Th1 0.120 0.789 0.628
Th2 0.211 0.372 0.880
Th3 0.372 0.880 0.211
Th4 0.628 0.120 0.789
Th5 0.789 0.628 0.120
Th6 0.880 0.211 0.372
Pd1 0.500 0.500 0.500
Se1 0.070 0.926 0.324
Se2 0.074 0.676 0.930
Se3 0.188 0.439 0.556
Se4 0.324 0.070 0.926
Se5 0.439 0.556 0.188
Se6 0.444 0.812 0.561
Se7 0.556 0.188 0.439
Se8 0.561 0.444 0.812
Se9 0.676 0.930 0.074
Se10 0.812 0.561 0.444
Se11 0.926 0.324 0.070
Se12 0.930 0.074 0.676